Compound: CeB2PO8
Source: Alexandria
Functional: PBE
Structure: optimized geometry

a = 4.683 Å, b = 4.683 Å, c = 6.282 Å
α = 90.00°, β = 90.00°, γ = 120.00°
Element x y z (fractional)
1 O 0.161 0.839 0.832
2 O 0.161 0.322 0.832
3 O 0.678 0.839 0.832
4 O 0.839 0.678 0.168
5 O 0.322 0.161 0.168
6 O 0.667 0.333 0.465
7 O 0.839 0.161 0.168
8 O 0.333 0.667 0.535
9 P 0.000 0.000 0.000
10 B 0.333 0.667 0.765
11 B 0.667 0.333 0.235
12 Ce 0.000 0.000 0.500

## Properties
**SG**: P-3m1 (164)
**Magnetic moment**: 0.0 Bohr magnetons per cell
**Calculated total energy**: -7.537 eV/atom
**Density of states at the Fermi level**: 5.1 states/eV/cell